First-principles (GGA-PBE) data for Sr5Al2F16 after structural relaxation, as listed in the Alexandria database.

abc: 7.583 12.614 14.286
angles: 90.00 90.00 90.00
Space group Ccce (No. 68, origin choice 2)
Unique sites:
1 Sr 0.000 0.250 0.032 x8
2 Sr 0.000 0.250 0.750 x4
3 Sr 0.250 0.000 0.123 x8
4 Al 0.250 0.000 0.372 x8
5 F 0.049 0.083 0.372 x16
6 F 0.150 0.081 0.963 x16
7 F 0.165 0.084 0.780 x16
8 F 0.190 0.197 0.604 x16

Summary:
**DOS at the Fermi energy**: 0.0000 states/eV/atom
**E_form (uncorrected)**: -3.8261 eV per atom

---

First-principles (GGA-PBE) data for SrAlF after structural relaxation, as listed in the Alexandria database.

abc: 3.896 15.745 4.529
angles: 90.00 90.00 90.00
Space group Cmcm (No. 63)
Unique sites:
1 Sr 0.000 0.162 0.250 x4
2 Al 0.000 0.465 0.250 x4
3 F 0.000 0.243 0.750 x4

Summary:
**Offset from the most stable computed form**: 0.0000 eV per atom
**DOS at the Fermi energy**: 0.4439 states/eV/atom
**E_form (uncorrected)**: -1.9144 eV per atom

---

First-principles (GGA-PBE) data for SrAlF after structural relaxation, as listed in the Alexandria database.

abc: 4.068 4.068 8.519
angles: 90.00 90.00 90.00
Space group P4/nmm (No. 129, origin choice 2)
Unique sites:
1 Sr 0.250 0.250 0.169 x2
2 Al 0.250 0.750 0.500 x2
3 F 0.250 0.750 0.000 x2

Summary:
**Offset from the most stable computed form**: 0.0124 eV per atom
**DOS at the Fermi energy**: 0.3336 states/eV/atom
**E_form (uncorrected)**: -1.9021 eV per atom

---

First-principles (GGA-PBE) data for SrAl2TcF after structural relaxation, as listed in the Alexandria database.

abc: 6.118 6.118 5.065
angles: 90.00 90.00 90.00
Space group P4/mmm (No. 123)
Unique sites:
1 Sr 0.000 0.000 0.000 x1
2 Al 0.000 0.500 0.000 x2
3 Tc 0.000 0.000 0.500 x1
4 F 0.500 0.500 0.500 x1

Summary:
**DOS at the Fermi energy**: 0.7715 states/eV/atom
**E_form (uncorrected)**: 1.5639 eV per atom

---

First-principles (GGA-PBE) data for SrAlTe2F after structural relaxation, as listed in the Alexandria database.

abc: 5.988 5.988 3.666
angles: 90.00 90.00 90.00
Space group P4/mmm (No. 123)
Unique sites:
1 Sr 0.000 0.000 0.000 x1
2 Al 0.500 0.500 0.000 x1
3 Te 0.000 0.500 0.500 x2
4 F 0.500 0.500 0.500 x1

Summary:
**DOS at the Fermi energy**: 0.3696 states/eV/atom
**E_form (uncorrected)**: -0.9699 eV per atom

---

First-principles (GGA-PBE) data for SrAlTlF2 after structural relaxation, as listed in the Alexandria database.

abc: 4.917 4.917 5.349
angles: 90.00 90.00 90.00
Space group P4/mmm (No. 123)
Unique sites:
1 Sr 0.000 0.000 0.000 x1
2 Al 0.500 0.500 0.000 x1
3 Tl 0.500 0.500 0.500 x1
4 F 0.000 0.500 0.500 x2

Summary:
**DOS at the Fermi energy**: 0.4351 states/eV/atom
**E_form (uncorrected)**: -1.1335 eV per atom

---

First-principles (GGA-PBE) data for SrAlTlF6 after structural relaxation, as listed in the Alexandria database.

abc: 7.363 8.156 9.968
angles: 90.00 90.00 90.00
Space group Imma (No. 74)
Unique sites:
1 Sr 0.000 0.000 0.000 x4
2 Al 0.250 0.250 0.250 x4
3 Tl 0.000 0.250 0.597 x4
4 F 0.000 0.250 0.206 x4
5 F 0.000 0.250 0.874 x4
6 F 0.221 0.094 0.377 x16

Summary:
**DOS at the Fermi energy**: 0.0000 states/eV/atom
**E_form (uncorrected)**: -3.3086 eV per atom

---

First-principles (GGA-PBE) data for SrAlTl2F6 after structural relaxation, as listed in the Alexandria database.

abc: 6.198 6.212 8.797
angles: 90.00 90.00 90.00
Space group Immm (No. 71)
Unique sites:
1 Sr 0.000 0.000 0.000 x2
2 Al 0.000 0.000 0.500 x2
3 Tl 0.000 0.500 0.250 x4
4 F 0.000 0.000 0.288 x4
5 F 0.213 0.212 0.500 x8

Summary:
**DOS at the Fermi energy**: 0.2729 states/eV/atom
**E_form (uncorrected)**: -2.7803 eV per atom

---

First-principles (GGA-PBE) data for SrAl2TlF8 after structural relaxation, as listed in the Alexandria database.

abc: 6.5069 6.5069 17.7728
angles: 90.00 90.00 120.00
Space group R-3 (No. 148, hexagonal axes)
Unique sites:
1 Sr 0.0000 0.0000 0.0000 x3
2 Al 0.0000 0.0000 0.2450 x6
3 Tl 0.0000 0.0000 0.5000 x3
4 F 0.0000 0.0000 0.1494 x6
5 F 0.0550 0.7876 0.7203 x18

Summary:
**DOS at the Fermi energy**: 0.2355 states/eV/atom
**E_form (uncorrected)**: -3.1593 eV per atom

---

no.,M_tot (μB per formula unit)
1,0.000
2,0.000
3,0.000
4,1.791
5,0.000
6,0.000
7,0.000
8,0.000
9,0.838